Model P:
An optimized crystal structure of MnNiIr. Source: the Alexandria database, functional PBE.

POSCAR file:
```
MnNiIr
1.0
-0.3092 -2.5930 0.4235
2.3697 0.9548 -0.6864
1.4138 0.8136 6.0130
Ir Mn Ni
1 1 1
Direct
0.0000 0.0000 0.0064
0.6667 0.3333 0.3386
0.3333 0.6667 0.6550
```

Output
Crystal system = trigonal
DOS(E_F) = 4.56 states/eV/f.u.

Model Q:
An optimized crystal structure of MnNiIr. Source: the Alexandria database, functional PBE.

POSCAR file:
```
MnNiIr
1.0
6.5856 -0.0939 0.0604
5.8662 2.4616 0.1316
0.7194 -0.9953 2.3548
Mn Ir Ni
1 1 1
Direct
0.3288 0.3288 0.6712
0.9979 0.9979 0.0021
0.6733 0.6733 0.3267
```

Output
Crystal system = orthorhombic
DOS(E_F) = 3.27 states/eV/f.u.

Model R:
An optimized crystal structure of MnNiIr. Source: the Alexandria database, functional PBE.

POSCAR file:
```
MnNiIr
1.0
-1.4603 2.4187 -2.8950
-1.7439 -3.9941 -2.4574
-2.6045 -0.9313 3.3619
Ir Ni Mn
2 2 2
Direct
0.3090 0.7500 0.1180
0.6910 0.2500 0.8820
0.0000 0.0000 0.5000
0.0000 0.5000 0.5000
0.6278 0.7500 0.7555
0.3722 0.2500 0.2445
```

Output
Crystal system = orthorhombic
DOS(E_F) = 3.87 states/eV/f.u.

Ranked by calculated energy, most stable first: model P, model R, model Q.

Model P:
An optimized crystal structure of MnNiIr. Source: the Alexandria database, functional PBE.

POSCAR file:
```
MnNiIr
1.0
-3.0535 2.6064 2.1294
-4.3901 -1.1305 0.3181
4.1277 -1.7886 0.6442
Ni Mn Ir
1 1 1
Direct
0.6743 0.6743 0.0000
0.3272 0.3272 0.0000
0.9985 0.9985 0.0000
```

Output
Crystal system = tetragonal
DOS(E_F) = 2.22 states/eV/f.u.

Model Q:
An optimized crystal structure of MnNiIr. Source: the Alexandria database, functional PBE.

POSCAR file:
```
MnNiIr
1.0
-5.3805 -1.4862 0.8829
-4.2688 -2.7736 -2.4542
5.3963 0.5382 1.5901
Ir Mn Ni
1 1 1
Direct
0.9961 0.9961 0.0000
0.3321 0.3321 0.0000
0.6718 0.6718 0.0000
```

Output
Crystal system = tetragonal
DOS(E_F) = 2.96 states/eV/f.u.

Ranked by calculated energy, most stable first: model Q, model P.

Model P:
An optimized crystal structure of Mn2Ni2Ir. Source: the Alexandria database, functional PBE.

POSCAR file:
```
Mn2Ni2Ir
1.0
3.4406 0.0000 0.0000
0.0000 3.4406 0.0000
1.7203 1.7203 5.2987
Mn Ni Ir
2 2 1
Direct
0.4053 0.4053 0.1894
0.5947 0.5947 0.8106
0.2500 0.7500 0.5000
0.7500 0.2500 0.5000
0.0000 0.0000 0.0000
```

Output
Crystal system = tetragonal
DOS(E_F) = 5.25 states/eV/f.u.

Model Q:
An optimized crystal structure of Mn2Ni2Ir. Source: the Alexandria database, functional PBE.

POSCAR file:
```
Mn2Ni2Ir
1.0
6.6066 0.0000 0.0000
0.0000 6.6066 0.0000
0.0000 0.0000 2.7197
Mn Ni Ir
4 4 2
Direct
0.3927 0.8927 0.0000
0.1073 0.3927 0.0000
0.8927 0.6073 0.0000
0.6073 0.1073 0.0000
0.8132 0.3132 0.5000
0.1868 0.6868 0.5000
0.6868 0.8132 0.5000
0.3132 0.1868 0.5000
0.5000 0.5000 0.0000
0.0000 0.0000 0.0000
```

Output
Crystal system = tetragonal
DOS(E_F) = 6.85 states/eV/f.u.

Model R:
An optimized crystal structure of Mn2Ni2Ir. Source: the Alexandria database, functional PBE.

POSCAR file:
```
Mn2Ni2Ir
1.0
6.6967 0.0000 0.0000
0.0000 6.6967 0.0000
0.0000 0.0000 2.7675
Mn Ir Ni
4 2 4
Direct
0.6735 0.8265 0.5000
0.3265 0.1735 0.5000
0.8265 0.3265 0.5000
0.1735 0.6735 0.5000
0.0000 0.0000 0.0000
0.5000 0.5000 0.0000
0.6263 0.1263 0.0000
0.3737 0.8737 0.0000
0.1263 0.3737 0.0000
0.8737 0.6263 0.0000
```

Output
Crystal system = tetragonal
DOS(E_F) = 8.71 states/eV/f.u.

Ranked by calculated energy, most stable first: model R, model Q, model P.

Model P:
An optimized crystal structure of MnNi4Ir. Source: the Alexandria database, functional PBE.

POSCAR file:
```
MnNi4Ir
1.0
0.0000 3.3117 3.3117
3.3117 0.0000 3.3117
3.3117 3.3117 0.0000
Ni Mn Ir
4 1 1
Direct
0.3752 0.3752 0.3752
0.3752 0.3752 0.8744
0.3752 0.8744 0.3752
0.8744 0.3752 0.3752
0.0000 0.0000 0.0000
0.7500 0.7500 0.7500
```

Output
Crystal system = cubic
DOS(E_F) = 11.06 states/eV/f.u.

Model Q:
An optimized crystal structure of MnNi4Ir. Source: the Alexandria database, functional PBE.

POSCAR file:
```
MnNi4Ir
1.0
3.6317 0.0000 0.0000
-1.8158 5.3579 -0.6052
0.0000 0.4064 3.5975
Ni Ir Mn
4 1 1
Direct
0.8310 0.6615 0.5000
0.3298 0.6599 0.0000
0.6702 0.3401 0.0000
0.1690 0.3385 0.5000
0.0000 0.0000 0.0000
0.5000 0.0000 0.5000
```

Output
Crystal system = orthorhombic
DOS(E_F) = 8.89 states/eV/f.u.

Model R:
An optimized crystal structure of MnNi4Ir. Source: the Alexandria database, functional PBE.

POSCAR file:
```
MnNi4Ir
1.0
-1.6259 1.7741 -3.2752
-2.8781 -3.3395 4.6788
1.3322 6.7242 2.9732
Ni Mn Ir
8 2 2
Direct
0.7917 0.0417 0.5833
0.2083 0.9583 0.4167
0.0448 0.7949 0.0833
0.2916 0.5417 0.5833
0.9552 0.2051 0.9167
0.4614 0.7116 0.9167
0.7084 0.4583 0.4167
0.5386 0.2884 0.0833
0.3714 0.6214 0.2428
0.6286 0.3786 0.7572
0.8774 0.1274 0.2547
0.1226 0.8726 0.7453
```

Output
Crystal system = monoclinic
DOS(E_F) = 9.70 states/eV/f.u.

Ranked by calculated energy, most stable first: model Q, model R, model P.

Model P:
An optimized crystal structure of MnNiIr4. Source: the Alexandria database, functional PBE.

POSCAR file:
```
MnNiIr4
1.0
0.0000 3.6309 3.6309
3.6309 0.0000 3.6309
3.6309 3.6309 0.0000
Ni Ir Mn
1 4 1
Direct
0.0000 0.0000 0.0000
0.6252 0.6252 0.1245
0.1245 0.6252 0.6252
0.6252 0.1245 0.6252
0.6252 0.6252 0.6252
0.2500 0.2500 0.2500
```

Output
Crystal system = cubic
DOS(E_F) = 14.82 states/eV/f.u.

Model Q:
An optimized crystal structure of MnNiIr4. Source: the Alexandria database, functional PBE.

POSCAR file:
```
MnNiIr4
1.0
-4.0152 2.2959 0.2736
-0.3564 -4.5618 -2.8992
-1.7054 -3.7014 6.0336
Mn Ir Ni
2 8 2
Direct
0.5000 0.0000 0.5000
0.0000 0.0000 0.0000
0.4540 0.3719 0.1583
0.5460 0.6281 0.8417
0.9540 0.3719 0.3417
0.5521 0.1340 0.8463
0.0521 0.1340 0.6537
0.9479 0.8660 0.3463
0.4479 0.8660 0.1537
0.0460 0.6281 0.6583
0.0000 0.5000 0.0000
0.5000 0.5000 0.5000
```

Output
Crystal system = monoclinic
DOS(E_F) = 6.50 states/eV/f.u.

Ranked by calculated energy, most stable first: model Q, model P.

Model P:
An optimized crystal structure of MnNi6Ir. Source: the Alexandria database, functional PBE.

POSCAR file:
```
MnNi6Ir
1.0
3.6201 0.0000 0.0000
0.0000 5.1002 -0.0322
0.0000 0.0326 5.1002
Ni Ir Mn
6 1 1
Direct
0.5000 0.5000 0.0000
0.5000 0.0000 0.5000
0.0000 0.2504 0.2504
0.0000 0.7496 0.7496
0.0000 0.2503 0.7497
0.0000 0.7497 0.2503
0.5000 0.5000 0.5000
0.5000 0.0000 0.0000
```

Output
Crystal system = tetragonal
DOS(E_F) = 9.94 states/eV/f.u.

Model Q:
An optimized crystal structure of MnNi6Ir. Source: the Alexandria database, functional PBE.

POSCAR file:
```
MnNi6Ir
1.0
4.2267 0.7157 -0.0595
1.0312 4.1610 -0.0595
1.4386 1.3343 6.1527
Ni Mn Ir
6 1 1
Direct
0.5415 0.0565 0.3064
0.9435 0.4585 0.6936
0.3629 0.3629 0.9311
0.0565 0.5415 0.3064
0.6371 0.6371 0.0689
0.4585 0.9435 0.6936
0.5000 0.5000 0.5000
0.0000 0.0000 0.0000
```

Output
Crystal system = monoclinic
DOS(E_F) = 12.54 states/eV/f.u.

Ranked by calculated energy, most stable first: model P, model Q.